VASP calculation (PBE-GGA) on an optimized crystal structure of Cu2SbBr.

Results
* energy above the lowest structure with this stoichiometry: 0.1242 eV/atom
* E_tot: -13.695 eV/f.u.
* size of the total moment: 0.0 μB per formula unit
* formation energy (no corrections): 73 meV/atom
* DOS at the Fermi energy: 0.32 states/eV/atom

Lattice parameters (Å, degrees): 7.6652 7.6652 7.6652 28.51 28.51 28.51
Sites, in units of the cell vectors:
1 Br 0.7150 0.7150 0.7150
2 Cu 0.9872 0.9872 0.9872
3 Cu 0.2629 0.2629 0.2629
4 Sb 0.5349 0.5349 0.5349